No. 1
# GGA-PBE Be2TcRh, relaxed
data_Be2TcRh
_chemical_formula_sum 'Be6 Tc3 Rh3'
_cell_length_a 2.7205
_cell_length_b 2.7205
_cell_length_c 22.0950
_cell_angle_alpha 90.00
_cell_angle_beta 90.00
_cell_angle_gamma 120.00
_space_group_name_H-M_alt 'R -3 m'
_space_group_IT_number 166
_space_group_name_Hall '-R 3 2"'
loop_
_atom_site_label
_atom_site_fract_x
_atom_site_fract_y
_atom_site_fract_z
Be1 0.0000 0.0000 0.2460
Tc1 0.0000 0.0000 0.0000
Rh1 0.0000 0.0000 0.5000
# polymorph energy (0 for the lowest one): 22.6 kJ per mole of atoms
# DFT formation energy: -0.36 eV per formula unit



No. 2
# GGA-PBE TiGaCu, relaxed
data_TiGaCu
_chemical_formula_sum 'Ti4 Ga4 Cu4'
_cell_length_a 3.7819
_cell_length_b 11.8909
_cell_length_c 3.9211
_cell_angle_alpha 90.00
_cell_angle_beta 90.00
_cell_angle_gamma 90.00
_space_group_name_H-M_alt 'C m m m'
_space_group_IT_number 65
_space_group_name_Hall '-C 2 2'
loop_
_atom_site_label
_atom_site_fract_x
_atom_site_fract_y
_atom_site_fract_z
Ti1 0.0000 0.1654 0.0000
Ga1 0.0000 0.3444 0.5000
Cu1 0.0000 0.0000 0.5000
Cu2 0.0000 0.5000 0.0000
# DFT formation energy: -0.80 eV per formula unit



No. 3
# GGA-PBE Be3Te, relaxed
data_Be3Te
_chemical_formula_sum 'Be6 Te2'
_cell_length_a 3.5382
_cell_length_b 4.1364
_cell_length_c 7.5225
_cell_angle_alpha 90.00
_cell_angle_beta 90.00
_cell_angle_gamma 90.00
_space_group_name_H-M_alt 'I m m m'
_space_group_IT_number 71
_space_group_name_Hall '-I 2 2'
loop_
_atom_site_label
_atom_site_fract_x
_atom_site_fract_y
_atom_site_fract_z
Be1 0.0000 0.0000 0.0000
Be2 0.0000 0.5000 0.2649
Te1 0.0000 0.0000 0.5000
# polymorph energy (0 for the lowest one): 57.1 kJ per mole of atoms
# uncorrected formation energy: 0.798 eV per atom



No. 4
# GGA-PBE Y2ZnB2Rh5, relaxed
data_Y2ZnB2Rh5
_chemical_formula_sum 'Y4 Zn2 B4 Rh10'
_cell_length_a 9.5372
_cell_length_b 9.5372
_cell_length_c 3.1825
_cell_angle_alpha 90.00
_cell_angle_beta 90.00
_cell_angle_gamma 90.00
_space_group_name_H-M_alt 'P 4/m b m'
_space_group_IT_number 127
_space_group_name_Hall '-P 4 2ab'
loop_
_atom_site_label
_atom_site_fract_x
_atom_site_fract_y
_atom_site_fract_z
Y1 0.1760 0.3240 0.0000
Zn1 0.0000 0.0000 0.0000
B1 0.1237 0.6237 0.0000
Rh1 0.0000 0.5000 0.5000
Rh2 0.0693 0.7797 0.5000
# DFT formation energy: -7.42 eV per formula unit



No. 5
# GGA-PBE Sn6Pd8Au, relaxed
data_Sn6Pd8Au
_chemical_formula_sum 'Sn18 Pd24 Au3'
_cell_length_a 7.8869
_cell_length_b 7.8869
_cell_length_c 16.6156
_cell_angle_alpha 90.00
_cell_angle_beta 90.00
_cell_angle_gamma 120.00
_space_group_name_H-M_alt 'R -3'
_space_group_IT_number 148
_space_group_name_Hall '-R 3'
loop_
_atom_site_label
_atom_site_fract_x
_atom_site_fract_y
_atom_site_fract_z
Sn1 0.0069 0.3195 0.2293
Pd1 0.0000 0.0000 0.3218
Pd2 0.0010 0.3491 0.7307
Au1 0.0000 0.0000 0.0000
# DFT formation energy: -6.32 eV per formula unit



No. 6
# GGA-PBE TmMgZrZn, relaxed
data_TmMgZrZn
_chemical_formula_sum 'Tm4 Mg4 Zr4 Zn4'
_cell_length_a 7.0304
_cell_length_b 7.0304
_cell_length_c 7.0304
_cell_angle_alpha 90.00
_cell_angle_beta 90.00
_cell_angle_gamma 90.00
_space_group_name_H-M_alt 'F -4 3 m'
_space_group_IT_number 216
_space_group_name_Hall 'F -4 2 3'
loop_
_atom_site_label
_atom_site_fract_x
_atom_site_fract_y
_atom_site_fract_z
Tm1 0.0000 0.0000 0.0000
Mg1 0.2500 0.2500 0.2500
Zr1 0.0000 0.0000 0.5000
Zn1 0.2500 0.2500 0.7500
# polymorph energy (0 for the lowest one): 4.6 kJ per mole of atoms
# DFT formation energy: -0.30 eV per formula unit



No. 7
# GGA-PBE Y3ZnH, relaxed
data_Y3ZnH
_chemical_formula_sum 'Y12 Zn4 H4'
_cell_length_a 9.4288
_cell_length_b 13.1759
_cell_length_c 3.6750
_cell_angle_alpha 90.00
_cell_angle_beta 90.00
_cell_angle_gamma 90.00
_space_group_name_H-M_alt 'C m m m'
_space_group_IT_number 65
_space_group_name_Hall '-C 2 2'
loop_
_atom_site_label
_atom_site_fract_x
_atom_site_fract_y
_atom_site_fract_z
Y1 0.0000 0.1832 0.0000
Y2 0.1828 0.3709 0.5000
Zn1 0.0000 0.0000 0.5000
Zn2 0.0000 0.5000 0.0000
H1 0.2500 0.2500 0.0000
# polymorph energy (0 for the lowest one): 0.0 kJ per mole of atoms



No. 8
# GGA-PBE RbSnSb2I, relaxed
data_RbSnSb2I
_chemical_formula_sum 'Rb1 Sn1 Sb2 I1'
_cell_length_a 6.1512
_cell_length_b 6.1512
_cell_length_c 6.3081
_cell_angle_alpha 90.00
_cell_angle_beta 90.00
_cell_angle_gamma 90.00
_space_group_name_H-M_alt 'P 4/m m m'
_space_group_IT_number 123
_space_group_name_Hall '-P 4 2'
loop_
_atom_site_label
_atom_site_fract_x
_atom_site_fract_y
_atom_site_fract_z
Rb1 0.0000 0.0000 0.0000
Sn1 0.5000 0.5000 0.5000
Sb1 0.0000 0.5000 0.0000
I1 0.0000 0.0000 0.5000
# polymorph energy (0 for the lowest one): 95.7 kJ per mole of atoms
# uncorrected formation energy: 0.997 eV per atom



No. 9
# GGA-PBE GaFe2Si, relaxed
data_GaFe2Si
_chemical_formula_sum 'Ga4 Fe8 Si4'
_cell_length_a 6.4798
_cell_length_b 6.4798
_cell_length_c 5.1513
_cell_angle_alpha 90.00
_cell_angle_beta 90.00
_cell_angle_gamma 90.00
_space_group_name_H-M_alt 'I -4 2 d'
_space_group_IT_number 122
_space_group_name_Hall 'I -4 2bw'
loop_
_atom_site_label
_atom_site_fract_x
_atom_site_fract_y
_atom_site_fract_z
Ga1 0.0000 0.0000 0.0000
Fe1 0.2210 0.2500 0.6250
Si1 0.0000 0.0000 0.5000
# uncorrected formation energy: 0.242 eV per atom



No. 10
# GGA-PBE Tc3OsI, relaxed
data_Tc3OsI
_chemical_formula_sum 'Tc3 Os1 I1'
_cell_length_a 4.8159
_cell_length_b 4.8159
_cell_length_c 4.8159
_cell_angle_alpha 90.00
_cell_angle_beta 90.00
_cell_angle_gamma 90.00
_space_group_name_H-M_alt 'P m -3 m'
_space_group_IT_number 221
_space_group_name_Hall '-P 4 2 3'
loop_
_atom_site_label
_atom_site_fract_x
_atom_site_fract_y
_atom_site_fract_z
Tc1 0.0000 0.0000 0.5000
Os1 0.0000 0.0000 0.0000
I1 0.5000 0.5000 0.5000
# polymorph energy (0 for the lowest one): 0.0 kJ per mole of atoms
# uncorrected formation energy: 1.815 eV per atom



No. 11
# GGA-PBE TcAs2P, relaxed
data_TcAs2P
_chemical_formula_sum 'Tc2 As4 P2'
_cell_length_a 2.9959
_cell_length_b 4.9706
_cell_length_c 9.1925
_cell_angle_alpha 90.00
_cell_angle_beta 90.00
_cell_angle_gamma 90.00
_space_group_name_H-M_alt 'C m m 2'
_space_group_IT_number 35
loop_
_space_group_symop_operation_xyz
'x,y,z'
'-x,-y,z'
'-x,y,z'
'x,-y,z'
'x+1/2,y+1/2,z'
'-x+1/2,-y+1/2,z'
'-x+1/2,y+1/2,z'
'x+1/2,-y+1/2,z'
loop_
_atom_site_label
_atom_site_fract_x
_atom_site_fract_y
_atom_site_fract_z
Tc1 0.0000 0.0000 0.0000
As1 0.0000 0.0000 0.5313
As2 0.0000 0.5000 0.2388
P1 0.0000 0.5000 0.8078
# DFT formation energy: 1.30 eV per formula unit



No. 12
# GGA-PBE BeCrFe2, relaxed
data_BeCrFe2
_chemical_formula_sum 'Be1 Cr1 Fe2'
_cell_length_a 3.7860
_cell_length_b 3.7860
_cell_length_c 2.7784
_cell_angle_alpha 90.00
_cell_angle_beta 90.00
_cell_angle_gamma 90.00
_space_group_name_H-M_alt 'P 4/m m m'
_space_group_IT_number 123
_space_group_name_Hall '-P 4 2'
loop_
_atom_site_label
_atom_site_fract_x
_atom_site_fract_y
_atom_site_fract_z
Be1 0.0000 0.0000 0.0000
Cr1 0.5000 0.5000 0.0000
Fe1 0.0000 0.5000 0.5000
# DFT formation energy: -0.13 eV per formula unit